DFT (PBE-GGA) results for a geometry-optimized Ce2TmLu structure.

Structure (POSCAR):
```
Ce2TmLu
1.0
3.455 0.000 0.000
0.000 3.455 0.000
0.000 0.000 9.888
Ce Tm Lu
2 1 1
direct
0.000 0.000 0.751
0.000 0.000 0.249
0.500 0.500 0.500
0.500 0.500 0.000
```

The density of states at the Fermi level comes out at 2.63 states/eV/atom. The calculation puts the energy relative to the elements at 100 meV per atom. The total energy is -5.12 eV/atom.